Record 1
Computed, not measured: an optimized crystal structure of KTl2Mo at the PBE-GGA level of DFT.

Calculated values
Calculated total energy = -3.515 eV per atom
N(E_F) = 2.82 states/eV/cell

```
data_KTl2Mo
_chemical_formula_sum 'K1 Tl2 Mo1'
_cell_length_a 4.943
_cell_length_b 4.943
_cell_length_c 7.690
_cell_angle_alpha 84.90
_cell_angle_beta 84.90
_cell_angle_gamma 36.21
_symmetry_space_group_name_H-M 'P 1'
_symmetry_Int_Tables_number 1
loop_
_symmetry_equiv_pos_as_xyz
'x,y,z'
loop_
_atom_site_label
_atom_site_type_symbol
_atom_site_fract_x
_atom_site_fract_y
_atom_site_fract_z
K1 K 0.750 0.750 0.750
Mo1 Mo 0.250 0.250 0.250
Tl1 Tl 0.990 0.990 0.062
Tl2 Tl 0.510 0.510 0.438
```

Record 2
Computed, not measured: an optimized crystal structure of KTl2Mo at the PBE-GGA level of DFT.

Calculated values
Calculated total energy = -3.581 eV per atom
N(E_F) = 3.09 states/eV/cell

```
data_KTl2Mo
_chemical_formula_sum 'K1 Tl2 Mo1'
_cell_length_a 8.690
_cell_length_b 8.690
_cell_length_c 8.690
_cell_angle_alpha 159.68
_cell_angle_beta 147.60
_cell_angle_gamma 38.55
_symmetry_space_group_name_H-M 'P 1'
_symmetry_Int_Tables_number 1
loop_
_symmetry_equiv_pos_as_xyz
'x,y,z'
loop_
_atom_site_label
_atom_site_type_symbol
_atom_site_fract_x
_atom_site_fract_y
_atom_site_fract_z
K1 K 0.434 0.434 0.000
Mo1 Mo 0.232 0.732 0.500
Tl1 Tl 0.082 0.082 0.000
Tl2 Tl 0.752 0.252 0.500
```

Q: Among the records above, which one has the lowest calculated total energy?
A: number 2